First-principles (PBE) data for a relaxed U3Sb5Se12 crystal, as listed in Alexandria via LeMat-Bulk.

The electronic total energy is -833.69 eV per cell. The formation energy (no corrections) is -0.396 eV per atom. As for the crystal system: cubic. The calculation puts the total moment at 0.4411 μB per atom.

Geometry as CIF:
```
data_U3Sb5Se12
_space_group_name_H-M_alt 'I a -3 d'
_space_group_IT_number 230
_space_group_name_Hall '-I 4bd 2c 3'
_cell_length_a 16.9514
_cell_length_b 16.9514
_cell_length_c 16.9514
_cell_angle_alpha 90.00
_cell_angle_beta 90.00
_cell_angle_gamma 90.00
loop_
_atom_site_label
_atom_site_fract_x
_atom_site_fract_y
_atom_site_fract_z
U1 0.0000 0.2500 0.1250
Sb1 0.0000 0.0000 0.0000
Sb2 0.0000 0.2500 0.3750
Se1 0.0139 0.0690 0.6539
```

First-principles (PBE) data for a relaxed Rb3LaHo2S6 crystal, as listed in Alexandria via LeMat-Bulk.

The electronic total energy is -128.23 eV per cell. The formation energy (no corrections) is -1.864 eV per atom. As for the crystal system: monoclinic. The calculation puts the total moment at 0.0000 μB per atom.

Geometry as CIF:
```
data_Rb3LaHo2S6
_space_group_name_H-M_alt 'C 1 2/m 1'
_space_group_IT_number 12
_space_group_name_Hall '-C 2y'
_cell_length_a 7.1851
_cell_length_b 12.4450
_cell_length_c 8.0591
_cell_angle_alpha 90.00
_cell_angle_beta 107.31
_cell_angle_gamma 90.00
loop_
_atom_site_label
_atom_site_fract_x
_atom_site_fract_y
_atom_site_fract_z
Rb1 0.0000 0.0000 0.0000
Rb2 0.0000 0.3349 0.0000
La1 0.0000 0.5000 0.5000
Ho1 0.0000 0.1668 0.5000
S1 0.2179 0.0000 0.6927
S2 0.2377 0.3268 0.6931
```

First-principles (PBE) data for a relaxed LaTa2Os crystal, as listed in Alexandria via LeMat-Bulk.

The electronic total energy is -151.05 eV per cell. As for the crystal system: tetragonal. The calculation puts the total moment at 0.0000 μB per atom.

Geometry as CIF:
```
data_LaTa2Os
_space_group_name_H-M_alt 'I -4 2 d'
_space_group_IT_number 122
_space_group_name_Hall 'I -4 2bw'
_cell_length_a 7.9034
_cell_length_b 7.9034
_cell_length_c 5.8868
_cell_angle_alpha 90.00
_cell_angle_beta 90.00
_cell_angle_gamma 90.00
loop_
_atom_site_label
_atom_site_fract_x
_atom_site_fract_y
_atom_site_fract_z
La1 0.0000 0.0000 0.0000
Ta1 0.1863 0.2500 0.6250
Os1 0.0000 0.0000 0.5000
```

First-principles (PBE) data for a relaxed CuAsSe3 crystal, as listed in Alexandria via LeMat-Bulk.

The electronic total energy is -15.54 eV per cell. The formation energy (no corrections) is 0.732 eV per atom. As for the crystal system: cubic. The calculation puts the total moment at 0.0000 μB per atom.

Geometry as CIF:
```
data_CuAsSe3
_space_group_name_H-M_alt 'P m -3 m'
_space_group_IT_number 221
_space_group_name_Hall '-P 4 2 3'
_cell_length_a 5.0236
_cell_length_b 5.0236
_cell_length_c 5.0236
_cell_angle_alpha 90.00
_cell_angle_beta 90.00
_cell_angle_gamma 90.00
loop_
_atom_site_label
_atom_site_fract_x
_atom_site_fract_y
_atom_site_fract_z
Cu1 0.0000 0.0000 0.0000
As1 0.5000 0.5000 0.5000
Se1 0.0000 0.5000 0.5000
```

First-principles (PBE) data for a relaxed AlTlTe crystal, as listed in Alexandria via LeMat-Bulk.

The electronic total energy is -9.57 eV per cell. The formation energy (no corrections) is -0.107 eV per atom. As for the crystal system: trigonal. The calculation puts the total moment at 0.0000 μB per atom.

Geometry as CIF:
```
data_AlTlTe
_space_group_name_H-M_alt 'P 3 m 1'
_space_group_IT_number 156
_space_group_name_Hall 'P 3 -2"'
_cell_length_a 4.1010
_cell_length_b 4.1010
_cell_length_c 6.1290
_cell_angle_alpha 90.00
_cell_angle_beta 90.00
_cell_angle_gamma 120.00
loop_
_atom_site_label
_atom_site_fract_x
_atom_site_fract_y
_atom_site_fract_z
Al1 0.0000 0.0000 0.0000
Tl1 0.3333 0.6667 0.6572
Te1 0.6667 0.3333 0.2367
```

First-principles (PBE) data for a relaxed IrBr2Cl crystal, as listed in Alexandria via LeMat-Bulk.

The electronic total energy is -36.67 eV per cell. The formation energy (no corrections) is 0.457 eV per atom. As for the crystal system: trigonal. The calculation puts the total moment at 0.0000 μB per atom.

Geometry as CIF:
```
data_IrBr2Cl
_space_group_name_H-M_alt 'R -3 m'
_space_group_IT_number 166
_space_group_name_Hall '-R 3 2"'
_cell_length_a 3.0171
_cell_length_b 3.0171
_cell_length_c 34.1462
_cell_angle_alpha 90.00
_cell_angle_beta 90.00
_cell_angle_gamma 120.00
loop_
_atom_site_label
_atom_site_fract_x
_atom_site_fract_y
_atom_site_fract_z
Ir1 0.0000 0.0000 0.0000
Br1 0.0000 0.0000 0.0697
Cl1 0.0000 0.0000 0.5000
```

First-principles (PBE) data for a relaxed LiTe2Pt crystal, as listed in Alexandria via LeMat-Bulk.

The electronic total energy is -30.64 eV per cell. The formation energy (no corrections) is -0.270 eV per atom. As for the crystal system: monoclinic. The calculation puts the total moment at 0.0000 μB per atom.

Geometry as CIF:
```
data_LiTe2Pt
_space_group_name_H-M_alt 'C 1 2/m 1'
_space_group_IT_number 12
_space_group_name_Hall '-C 2y'
_cell_length_a 7.3155
_cell_length_b 7.3309
_cell_length_c 3.1218
_cell_angle_alpha 90.00
_cell_angle_beta 90.30
_cell_angle_gamma 90.00
loop_
_atom_site_label
_atom_site_fract_x
_atom_site_fract_y
_atom_site_fract_z
Li1 0.0000 0.0000 0.0000
Te1 0.2500 0.2500 0.5000
Pt1 0.0000 0.5000 0.0000
```

First-principles (PBE) data for a relaxed NdAsRuO crystal, as listed in Alexandria via LeMat-Bulk.

The electronic total energy is -62.05 eV per cell. The formation energy (no corrections) is -1.843 eV per atom. As for the crystal system: tetragonal. The calculation puts the total moment at 0.0000 μB per atom.

Geometry as CIF:
```
data_NdAsRuO
_space_group_name_H-M_alt 'P 4/n m m'
_space_group_IT_number 129
_cell_length_a 4.1232
_cell_length_b 4.1232
_cell_length_c 8.3748
_cell_angle_alpha 90.00
_cell_angle_beta 90.00
_cell_angle_gamma 90.00
loop_
_space_group_symop_operation_xyz
'x,y,z'
'-x,-y,-z'
'-y+1/2,x,z'
'y+1/2,-x,-z'
'-x+1/2,-y+1/2,z'
'x+1/2,y+1/2,-z'
'y,-x+1/2,z'
'-y,x+1/2,-z'
'x+1/2,-y,-z'
'-x+1/2,y,z'
'-y,-x,-z'
'y,x,z'
'-x,y+1/2,-z'
'x,-y+1/2,z'
'y+1/2,x+1/2,-z'
'-y+1/2,-x+1/2,z'
loop_
_atom_site_label
_atom_site_fract_x
_atom_site_fract_y
_atom_site_fract_z
Nd1 0.2500 0.2500 0.1372
As1 0.2500 0.2500 0.6567
Ru1 0.2500 0.7500 0.5000
O1 0.2500 0.7500 0.0000
```

First-principles (PBE) data for a relaxed Er4PuSe5 crystal, as listed in Alexandria via LeMat-Bulk.

The electronic total energy is -133.60 eV per cell. The formation energy (no corrections) is -1.680 eV per atom. As for the crystal system: orthorhombic. The calculation puts the total moment at 0.5869 μB per atom.

Geometry as CIF:
```
data_Er4PuSe5
_space_group_name_H-M_alt 'I m m m'
_space_group_IT_number 71
_space_group_name_Hall '-I 2 2'
_cell_length_a 4.0760
_cell_length_b 5.7299
_cell_length_c 20.2036
_cell_angle_alpha 90.00
_cell_angle_beta 90.00
_cell_angle_gamma 90.00
loop_
_atom_site_label
_atom_site_fract_x
_atom_site_fract_y
_atom_site_fract_z
Er1 0.0000 0.0000 0.0989
Er2 0.0000 0.0000 0.3006
Pu1 0.0000 0.0000 0.5000
Se1 0.0000 0.5000 0.1026
Se2 0.0000 0.5000 0.3001
Se3 0.0000 0.5000 0.5000
```

First-principles (PBE) data for a relaxed KAlRu2 crystal, as listed in Alexandria via LeMat-Bulk.

The electronic total energy is -78.60 eV per cell. As for the crystal system: cubic. The calculation puts the total moment at 0.0001 μB per atom.

Geometry as CIF:
```
data_KAlRu2
_space_group_name_H-M_alt 'F -4 3 m'
_space_group_IT_number 216
_space_group_name_Hall 'F -4 2 3'
_cell_length_a 6.4991
_cell_length_b 6.4991
_cell_length_c 6.4991
_cell_angle_alpha 90.00
_cell_angle_beta 90.00
_cell_angle_gamma 90.00
loop_
_atom_site_label
_atom_site_fract_x
_atom_site_fract_y
_atom_site_fract_z
K1 0.0000 0.0000 0.0000
Al1 0.2500 0.2500 0.7500
Ru1 0.0000 0.0000 0.5000
Ru2 0.2500 0.2500 0.2500
```

First-principles (PBE) data for a relaxed BaY2Hg3 crystal, as listed in Alexandria via LeMat-Bulk.

The electronic total energy is -18.71 eV per cell. As for the crystal system: tetragonal. The calculation puts the total moment at 0.0000 μB per atom.

Geometry as CIF:
```
data_BaY2Hg3
_space_group_name_H-M_alt 'P 4/m m m'
_space_group_IT_number 123
_space_group_name_Hall '-P 4 2'
_cell_length_a 3.8364
_cell_length_b 3.8364
_cell_length_c 11.8034
_cell_angle_alpha 90.00
_cell_angle_beta 90.00
_cell_angle_gamma 90.00
loop_
_atom_site_label
_atom_site_fract_x
_atom_site_fract_y
_atom_site_fract_z
Ba1 0.0000 0.0000 0.0000
Y1 0.0000 0.0000 0.3453
Hg1 0.5000 0.5000 0.2043
Hg2 0.5000 0.5000 0.5000
```

First-principles (PBE) data for a relaxed La5Tb2PrDy crystal, as listed in Alexandria via LeMat-Bulk.

The electronic total energy is -81.72 eV per cell. As for the crystal system: tetragonal. The calculation puts the total moment at 0.0000 μB per atom.

Geometry as CIF:
```
data_La5Tb2PrDy
_space_group_name_H-M_alt 'P 4/m b m'
_space_group_IT_number 127
_space_group_name_Hall '-P 4 2ab'
_cell_length_a 8.0542
_cell_length_b 8.0542
_cell_length_c 10.1218
_cell_angle_alpha 90.00
_cell_angle_beta 90.00
_cell_angle_gamma 90.00
loop_
_atom_site_label
_atom_site_fract_x
_atom_site_fract_y
_atom_site_fract_z
La1 0.0000 0.0000 0.0000
La2 0.2043 0.2957 0.2617
Tb1 0.1292 0.6292 0.0000
Pr1 0.0000 0.0000 0.5000
Dy1 0.0000 0.5000 0.5000
```

First-principles (PBE) data for a relaxed ScMn2Pt3 crystal, as listed in Alexandria via LeMat-Bulk.

The electronic total energy is -93.35 eV per cell. As for the crystal system: trigonal. The calculation puts the total moment at 1.5008 μB per atom.

Geometry as CIF:
```
data_ScMn2Pt3
_space_group_name_H-M_alt 'P -3 m 1'
_space_group_IT_number 164
_space_group_name_Hall '-P 3 2"'
_cell_length_a 4.5027
_cell_length_b 4.5027
_cell_length_c 11.0161
_cell_angle_alpha 90.00
_cell_angle_beta 90.00
_cell_angle_gamma 120.00
loop_
_atom_site_label
_atom_site_fract_x
_atom_site_fract_y
_atom_site_fract_z
Sc1 0.3333 0.6667 0.1686
Mn1 0.0000 0.0000 0.0000
Mn2 0.0000 0.0000 0.5000
Mn3 0.3333 0.6667 0.6632
Pt1 0.0000 0.0000 0.2563
Pt2 0.3333 0.6667 0.4205
Pt3 0.3333 0.6667 0.9170
```

First-principles (PBE) data for a relaxed BaReN3 crystal, as listed in Alexandria via LeMat-Bulk.

The electronic total energy is -164.04 eV per cell. The formation energy (no corrections) is -0.332 eV per atom. As for the crystal system: monoclinic. The calculation puts the total moment at 0.0000 μB per atom.

Geometry as CIF:
```
data_BaReN3
_space_group_name_H-M_alt 'C 1 2/m 1'
_space_group_IT_number 12
_space_group_name_Hall '-C 2y'
_cell_length_a 12.9683
_cell_length_b 3.8732
_cell_length_c 6.9862
_cell_angle_alpha 90.00
_cell_angle_beta 104.42
_cell_angle_gamma 90.00
loop_
_atom_site_label
_atom_site_fract_x
_atom_site_fract_y
_atom_site_fract_z
Ba1 0.1104 0.0000 0.3294
Re1 0.1591 0.5000 0.8718
N1 0.0148 0.5000 0.9176
N2 0.1549 0.5000 0.6148
N3 0.1858 0.0000 0.9814
```

First-principles (PBE) data for a relaxed K3Dy3US8 crystal, as listed in Alexandria via LeMat-Bulk.

The electronic total energy is -264.64 eV per cell. The formation energy (no corrections) is -1.787 eV per atom. As for the crystal system: trigonal. The calculation puts the total moment at 0.1333 μB per atom.

Geometry as CIF:
```
data_K3Dy3US8
_space_group_name_H-M_alt 'R -3 m'
_space_group_IT_number 166
_space_group_name_Hall '-R 3 2"'
_cell_length_a 8.0559
_cell_length_b 8.0559
_cell_length_c 22.4449
_cell_angle_alpha 90.00
_cell_angle_beta 90.00
_cell_angle_gamma 120.00
loop_
_atom_site_label
_atom_site_fract_x
_atom_site_fract_y
_atom_site_fract_z
K1 0.0000 0.5000 0.0000
Dy1 0.0000 0.5000 0.5000
U1 0.0000 0.0000 0.5000
S1 0.0000 0.0000 0.2334
S2 0.0054 0.5027 0.2317
```

First-principles (PBE) data for a relaxed PuPaPS crystal, as listed in Alexandria via LeMat-Bulk.

The electronic total energy is -117.95 eV per cell. The formation energy (no corrections) is -1.488 eV per atom. As for the crystal system: trigonal. The calculation puts the total moment at 1.2764 μB per atom.

Geometry as CIF:
```
data_PuPaPS
_space_group_name_H-M_alt 'R 3 m'
_space_group_IT_number 160
_space_group_name_Hall 'R 3 -2"'
_cell_length_a 3.9481
_cell_length_b 3.9481
_cell_length_c 19.3134
_cell_angle_alpha 90.00
_cell_angle_beta 90.00
_cell_angle_gamma 120.00
loop_
_atom_site_label
_atom_site_fract_x
_atom_site_fract_y
_atom_site_fract_z
Pu1 0.0000 0.0000 0.0000
Pa1 0.0000 0.0000 0.5000
P1 0.0000 0.0000 0.2497
S1 0.0000 0.0000 0.7489
```

First-principles (PBE) data for a relaxed ScAs2WBr crystal, as listed in Alexandria via LeMat-Bulk.

The electronic total energy is -25.60 eV per cell. The formation energy (no corrections) is 0.932 eV per atom. As for the crystal system: tetragonal. The calculation puts the total moment at 0.7003 μB per atom.

Geometry as CIF:
```
data_ScAs2WBr
_space_group_name_H-M_alt 'P 4/m m m'
_space_group_IT_number 123
_space_group_name_Hall '-P 4 2'
_cell_length_a 5.1528
_cell_length_b 5.1528
_cell_length_c 4.9802
_cell_angle_alpha 90.00
_cell_angle_beta 90.00
_cell_angle_gamma 90.00
loop_
_atom_site_label
_atom_site_fract_x
_atom_site_fract_y
_atom_site_fract_z
Sc1 0.0000 0.0000 0.0000
As1 0.0000 0.5000 0.0000
W1 0.5000 0.5000 0.5000
Br1 0.0000 0.0000 0.5000
```

First-principles (PBE) data for a relaxed LaScSb2 crystal, as listed in Alexandria via LeMat-Bulk.

The electronic total energy is -22.69 eV per cell. The formation energy (no corrections) is -0.797 eV per atom. As for the crystal system: orthorhombic. The calculation puts the total moment at 0.0000 μB per atom.

Geometry as CIF:
```
data_LaScSb2
_space_group_name_H-M_alt 'P m m m'
_space_group_IT_number 47
_space_group_name_Hall '-P 2 2'
_cell_length_a 4.1075
_cell_length_b 4.7369
_cell_length_c 5.7629
_cell_angle_alpha 90.00
_cell_angle_beta 90.00
_cell_angle_gamma 90.00
loop_
_atom_site_label
_atom_site_fract_x
_atom_site_fract_y
_atom_site_fract_z
La1 0.0000 0.0000 0.0000
Sc1 0.0000 0.5000 0.5000
Sb1 0.5000 0.0000 0.5000
Sb2 0.5000 0.5000 0.0000
```

First-principles (PBE) data for a relaxed TaCr2Cd crystal, as listed in Alexandria via LeMat-Bulk.

The electronic total energy is -118.73 eV per cell. As for the crystal system: cubic. The calculation puts the total moment at 0.3332 μB per atom.

Geometry as CIF:
```
data_TaCr2Cd
_space_group_name_H-M_alt 'F -4 3 m'
_space_group_IT_number 216
_space_group_name_Hall 'F -4 2 3'
_cell_length_a 6.3529
_cell_length_b 6.3529
_cell_length_c 6.3529
_cell_angle_alpha 90.00
_cell_angle_beta 90.00
_cell_angle_gamma 90.00
loop_
_atom_site_label
_atom_site_fract_x
_atom_site_fract_y
_atom_site_fract_z
Ta1 0.0000 0.0000 0.0000
Cr1 0.0000 0.0000 0.5000
Cr2 0.2500 0.2500 0.2500
Cd1 0.2500 0.2500 0.7500
```

First-principles (PBE) data for a relaxed PmDyYEr crystal, as listed in Alexandria via LeMat-Bulk.

The electronic total energy is -79.49 eV per cell. As for the crystal system: cubic. The calculation puts the total moment at 0.0002 μB per atom.

Geometry as CIF:
```
data_PmDyYEr
_space_group_name_H-M_alt 'F -4 3 m'
_space_group_IT_number 216
_space_group_name_Hall 'F -4 2 3'
_cell_length_a 8.0472
_cell_length_b 8.0472
_cell_length_c 8.0472
_cell_angle_alpha 90.00
_cell_angle_beta 90.00
_cell_angle_gamma 90.00
loop_
_atom_site_label
_atom_site_fract_x
_atom_site_fract_y
_atom_site_fract_z
Pm1 0.0000 0.0000 0.0000
Dy1 0.0000 0.0000 0.5000
Y1 0.2500 0.2500 0.2500
Er1 0.2500 0.2500 0.7500
```